# 1
{
  "formula": "Pu2BiF2",
  "functional": "PBE",
  "state": "relaxed",
  "raw_formation_energy_ev_per_atom": -2.003,
  "spacegroup": "No. 123",
  "vol_a3_per_atom": 21.299,
  "total_energy_ha_per_atom": -0.3403,
  "lattice": [[-3.666, -0.138, -1.487], [-0.314, -3.783, 1.124], [-2.506, 1.988, 5.995]],
  "species": ["Pu", "Pu", "F", "F", "Bi"],
  "fractional_positions": [[0.500, 0.500, 0.261], [0.500, 0.500, 0.739], [0.500, 0.000, 0.500], [0.000, 0.500, 0.500], [0.000, 0.000, 0.000]]
}

=====

# 2
{
  "formula": "Ac5Ge2PtO",
  "functional": "PBE",
  "state": "relaxed",
  "raw_formation_energy_ev_per_atom": -1.180,
  "spacegroup": "No. 36",
  "vol_a3_per_atom": 30.993,
  "total_energy_ha_per_atom": -0.2099,
  "lattice": [[-4.433, 1.048, 0.217], [2.350, -1.860, 9.095], [3.081, 12.661, 1.793]],
  "species": ["Ac", "Ac", "Ac", "Ac", "Ac", "Ac", "Ac", "Ac", "Ac", "Ac", "Ge", "Ge", "Ge", "Ge", "O", "O", "Pt", "Pt"],
  "fractional_positions": [[0.520, 0.040, 0.245], [0.664, 0.328, 0.515], [0.719, 0.438, 0.195], [0.333, 0.666, 0.389], [0.989, 0.979, 0.483], [0.011, 0.021, 0.983], [0.480, 0.960, 0.745], [0.667, 0.334, 0.889], [0.281, 0.562, 0.695], [0.336, 0.672, 0.015], [0.137, 0.274, 0.342], [0.898, 0.795, 0.191], [0.863, 0.726, 0.842], [0.102, 0.205, 0.691], [0.469, 0.939, 0.414], [0.531, 0.061, 0.914], [0.826, 0.652, 0.551], [0.174, 0.348, 0.051]]
}

=====

# 3
{
  "formula": "LaTc2Ru",
  "functional": "PBE",
  "state": "relaxed",
  "spacegroup": "No. 65",
  "e_form_mev_per_atom": 633.6,
  "vol_a3_per_atom": 17.366,
  "total_energy_ha_per_atom": -0.2977,
  "polymorph_energy_kj_per_mol_fu": 151,
  "lattice": [[2.860, -0.026, 0.000], [-1.232, 2.581, 0.000], [0.000, 0.000, 9.451]],
  "species": ["Ru", "La", "Tc", "Tc"],
  "fractional_positions": [[0.500, 0.500, 0.750], [0.500, 0.500, 0.250], [0.000, 0.000, 0.974], [0.000, 0.000, 0.526]]
}

=====

# 4
{
  "formula": "PbSN2F",
  "functional": "PBE",
  "state": "relaxed",
  "raw_formation_energy_ev_per_atom": 1.697,
  "spacegroup": "No. 123",
  "vol_a3_per_atom": 22.087,
  "total_energy_ha_per_atom": -0.1313,
  "polymorph_energy_kj_per_mol_fu": 137,
  "lattice": [[4.534, 0.000, 0.000], [0.000, 4.534, 0.000], [0.000, 0.000, 5.371]],
  "species": ["N", "N", "Pb", "S", "F"],
  "fractional_positions": [[0.500, 0.000, 0.000], [0.000, 0.500, 0.000], [0.000, 0.000, 0.000], [0.000, 0.000, 0.500], [0.500, 0.500, 0.500]]
}

=====

# 5
{
  "formula": "SnRuPb2O6",
  "functional": "PBE",
  "state": "relaxed",
  "raw_formation_energy_ev_per_atom": -1.082,
  "spacegroup": "No. 59",
  "vol_a3_per_atom": 13.670,
  "total_energy_ha_per_atom": -0.2251,
  "lattice": [[5.811, 0.000, 0.000], [0.000, 5.777, 0.000], [0.000, 0.000, 8.143]],
  "species": ["O", "O", "O", "O", "O", "O", "O", "O", "O", "O", "O", "O", "Ru", "Ru", "Sn", "Sn", "Pb", "Pb", "Pb", "Pb"],
  "fractional_positions": [[0.500, 0.226, 0.754], [0.500, 0.226, 0.246], [0.231, 0.492, 0.500], [0.268, 0.985, 0.000], [0.732, 0.985, 0.000], [0.232, 0.015, 0.500], [0.768, 0.015, 0.500], [0.769, 0.492, 0.500], [0.000, 0.774, 0.254], [0.731, 0.508, 0.000], [0.269, 0.508, 0.000], [0.000, 0.774, 0.746], [0.500, 0.252, 0.000], [0.000, 0.748, 0.500], [0.500, 0.258, 0.500], [0.000, 0.742, 0.000], [0.500, 0.770, 0.774], [0.500, 0.770, 0.226], [0.000, 0.230, 0.726], [0.000, 0.230, 0.274]]
}

=====

# 6
{
  "formula": "AcPuPO2",
  "functional": "PBE",
  "state": "relaxed",
  "raw_formation_energy_ev_per_atom": -2.515,
  "spacegroup": "No. 63",
  "vol_a3_per_atom": 19.144,
  "total_energy_ha_per_atom": -0.3406,
  "lattice": [[-2.240, 3.284, -0.691], [-1.996, -4.692, -4.044], [-5.075, -2.359, 5.242]],
  "species": ["P", "P", "O", "O", "O", "O", "Pu", "Pu", "Ac", "Ac"],
  "fractional_positions": [[0.538, 0.076, 0.250], [0.462, 0.924, 0.750], [0.165, 0.331, 0.556], [0.165, 0.331, 0.944], [0.835, 0.669, 0.444], [0.835, 0.669, 0.056], [0.000, 0.000, 0.000], [0.000, 0.000, 0.500], [0.731, 0.462, 0.750], [0.269, 0.538, 0.250]]
}

=====

# 7
{
  "formula": "DyTm2ZrSc4",
  "functional": "PBE",
  "state": "relaxed",
  "spacegroup": "No. 47",
  "e_form_mev_per_atom": 50.5,
  "vol_a3_per_atom": 26.232,
  "total_energy_ha_per_atom": -0.2160,
  "lattice": [[-3.638, -0.588, 2.985], [2.116, -3.853, 1.820], [6.413, 1.486, 8.109]],
  "species": ["Tm", "Tm", "Sc", "Sc", "Sc", "Sc", "Dy", "Zr"],
  "fractional_positions": [[0.000, 0.000, 0.000], [0.500, 0.000, 0.500], [0.500, 0.739, 0.261], [0.000, 0.239, 0.261], [0.000, 0.761, 0.739], [0.500, 0.261, 0.739], [0.500, 0.500, 0.000], [0.000, 0.500, 0.500]]
}